Record 1
Material: TlAgPt
Method: DFT, meta-GGA SCAN
State: single point on PBEsol structure

Geometry as CIF:
```
data_TlAgPt
_cell_length_a 4.6103
_cell_length_b 4.6103
_cell_length_c 2.9431
_cell_angle_alpha 90.00
_cell_angle_beta 90.00
_cell_angle_gamma 120.00
_space_group_name_H-M_alt 'P 3 m 1'
_space_group_IT_number 156
_space_group_name_Hall 'P 3 -2"'
loop_
_atom_site_label
_atom_site_type_symbol
_atom_site_fract_x
_atom_site_fract_y
_atom_site_fract_z
Tl1 Tl 0.0000 0.0000 0.0000
Ag1 Ag 0.3333 0.6667 0.6301
Pt1 Pt 0.6667 0.3333 0.2241
```

Computed properties:
DOS at the Fermi energy in states/eV per atom: 0.280
E above lowest polymorph in meV per atom: 0
DFT formation energy in eV per atom: 0.11

=====

Record 2
Material: TlAgPt2
Method: DFT, meta-GGA SCAN
State: single point on PBEsol structure

Geometry as CIF:
```
data_TlAgPt2
_cell_length_a 4.119
_cell_length_b 4.119
_cell_length_c 3.961
_cell_angle_alpha 90.00
_cell_angle_beta 90.00
_cell_angle_gamma 90.00
_space_group_name_H-M_alt 'P 4/m m m'
_space_group_IT_number 123
_space_group_name_Hall '-P 4 2'
loop_
_atom_site_label
_atom_site_type_symbol
_atom_site_fract_x
_atom_site_fract_y
_atom_site_fract_z
Tl1 Tl 0.000 0.000 0.000
Ag1 Ag 0.500 0.500 0.000
Pt1 Pt 0.000 0.500 0.500
```

Computed properties:
DOS at the Fermi energy in states/eV per atom: 0.271
DFT formation energy in eV per atom: 0.01

=====

Record 3
Material: TlAg2Pt
Method: DFT, meta-GGA SCAN
State: single point on PBEsol structure

Geometry as CIF:
```
data_TlAg2Pt
_cell_length_a 5.610
_cell_length_b 8.290
_cell_length_c 3.038
_cell_angle_alpha 90.00
_cell_angle_beta 90.00
_cell_angle_gamma 90.00
_space_group_name_H-M_alt 'C m m m'
_space_group_IT_number 65
_space_group_name_Hall '-C 2 2'
loop_
_atom_site_label
_atom_site_type_symbol
_atom_site_fract_x
_atom_site_fract_y
_atom_site_fract_z
Tl1 Tl 0.000 0.000 0.000
Ag1 Ag 0.250 0.250 0.500
Pt1 Pt 0.000 0.500 0.000
```

Computed properties:
DOS at the Fermi energy in states/eV per atom: 0.309
E above lowest polymorph in meV per atom: 56
DFT formation energy in eV per atom: 0.11